1.
Density functional theory data (PBE) for an optimized crystal structure of Lu4CoAsN2.

The space group is P-6m2 (No. 187) and the conventional cell measures 3.3984, 3.3984 and 13.4734 Å, with angles of 90.00, 90.00 and 120.00 degrees. Symmetry generates all atoms from Lu at (0.0000, 0.0000, 0.1416), Lu at (0.6667, 0.3333, 0.3425), Co at (0.6667, 0.3333, 0.0000), As at (0.0000, 0.0000, 0.5000) and N at (0.3333, 0.6667, 0.2558).

The calculation puts the magnetic moment at 0.29 μB/f.u. For the final energy, the calculation gives -6.89 eV per atom.

***

2.
Density functional theory data (PBE) for an optimized crystal structure of TlTcNiIr.

The space group is F-43m (No. 216) and the conventional cell measures 6.2970, 6.2970 and 6.2970 Å, with angles of 90.00, 90.00 and 90.00 degrees. Symmetry generates all atoms from Tl at (0.0000, 0.0000, 0.0000), Tc at (0.2500, 0.2500, 0.7500), Ni at (0.2500, 0.2500, 0.2500) and Ir at (0.0000, 0.0000, 0.5000).

The calculation puts the magnetic moment at 0.76 μB/f.u. For the final energy, the calculation gives -6.29 eV per atom.